## ScNi2Ru2 (GGA-PBE)

Data for an optimized crystal structure of ScNi2Ru2.

a b c (Å): 7.1719 7.1719 2.7824
angles (deg): 90.00 90.00 90.00
Sites, in units of the cell vectors:
1 Sc 0.0000 0.0000 0.0000
2 Sc 0.5000 0.5000 0.0000
3 Ni 0.1742 0.3258 0.5000
4 Ni 0.3258 0.8258 0.5000
5 Ni 0.6742 0.1742 0.5000
6 Ni 0.8258 0.6742 0.5000
7 Ru 0.1241 0.6241 0.0000
8 Ru 0.3759 0.1241 0.0000
9 Ru 0.6241 0.8759 0.0000
10 Ru 0.8759 0.3759 0.0000

Computed properties:
SG: No. 127
mass density: 8.46 Mg/m³
formation energy: 33 meV per atom
crystal system: tetragonal

---

## Sc4NiRu2 (GGA-PBE)

Data for an optimized crystal structure of Sc4NiRu2.

a b c (Å): 7.7709 7.7709 7.7709
angles (deg): 33.76 33.76 33.76
Sites, in units of the cell vectors:
1 Sc 0.1225 0.1225 0.1225
2 Sc 0.3731 0.3731 0.3731
3 Sc 0.6269 0.6269 0.6269
4 Sc 0.8775 0.8775 0.8775
5 Ni 0.5000 0.5000 0.5000
6 Ru 0.2469 0.2469 0.2469
7 Ru 0.7531 0.7531 0.7531

Computed properties:
SG: No. 166
mass density: 5.67 Mg/m³
formation energy: -458 meV per atom
crystal system: trigonal

---

## ScNiRu2 (GGA-PBE)

Data for an optimized crystal structure of ScNiRu2.

a b c (Å): 4.6611 4.6611 4.7110
angles (deg): 101.73 101.73 35.98
Sites, in units of the cell vectors:
1 Sc 0.0000 0.0000 0.0000
2 Ni 0.5000 0.5000 0.5000
3 Ru 0.2363 0.2363 0.7214
4 Ru 0.7637 0.7637 0.2786

Computed properties:
SG: No. 12
mass density: 8.64 Mg/m³
formation energy: -83 meV per atom
crystal system: monoclinic

---

## ScSi2NiRu (GGA-PBE)

Data for an optimized crystal structure of ScSi2NiRu.

a b c (Å): 5.6441 5.6441 5.6441
angles (deg): 139.70 139.70 58.31
Sites, in units of the cell vectors:
1 Sc 0.0000 0.0000 0.0000
2 Si 0.3802 0.3802 0.0000
3 Si 0.6198 0.6198 0.0000
4 Ni 0.7500 0.2500 0.5000
5 Ru 0.2500 0.7500 0.5000

Computed properties:
SG: No. 119
formation energy without anion corrections: -0.7975 eV/atom
mass density: 5.81 Mg/m³
crystal system: tetragonal

---

## ScNiSnRu (GGA-PBE)

Data for an optimized crystal structure of ScNiSnRu.

a b c (Å): 4.5021 4.5021 4.5021
angles (deg): 60.00 60.00 60.00
Sites, in units of the cell vectors:
1 Sc 0.0000 0.0000 0.0000
2 Ni 0.7500 0.7500 0.7500
3 Sn 0.5000 0.5000 0.5000
4 Ru 0.2500 0.2500 0.2500

Computed properties:
SG: No. 216
mass density: 8.32 Mg/m³
formation energy: -479 meV per atom
crystal system: cubic

---

## Sc4NiSnRu2 (GGA-PBE)

Data for an optimized crystal structure of Sc4NiSnRu2.

a b c (Å): 8.1024 8.1024 8.1024
angles (deg): 33.30 33.30 33.30
Sites, in units of the cell vectors:
1 Sc 0.1164 0.1164 0.1164
2 Sc 0.3691 0.3691 0.3691
3 Sc 0.6309 0.6309 0.6309
4 Sc 0.8836 0.8836 0.8836
5 Ni 0.0000 0.0000 0.0000
6 Sn 0.5000 0.5000 0.5000
7 Ru 0.2497 0.2497 0.2497
8 Ru 0.7503 0.7503 0.7503

Computed properties:
SG: No. 166
mass density: 6.51 Mg/m³
formation energy: -553 meV per atom
crystal system: trigonal

---

## ScTaNiRu (GGA-PBE)

Data for an optimized crystal structure of ScTaNiRu.

a b c (Å): 4.4663 4.4663 4.4663
angles (deg): 60.00 60.00 60.00
Sites, in units of the cell vectors:
1 Sc 0.0000 0.0000 0.0000
2 Ta 0.5000 0.5000 0.5000
3 Ni 0.2500 0.2500 0.2500
4 Ru 0.7500 0.7500 0.7500

Computed properties:
SG: No. 216
mass density: 10.17 Mg/m³
formation energy: -388 meV per atom
crystal system: cubic

---

## ScTa2NiRu (GGA-PBE)

Data for an optimized crystal structure of ScTa2NiRu.

a b c (Å): 4.6905 4.6905 4.4509
angles (deg): 90.00 90.00 90.00
Sites, in units of the cell vectors:
1 Sc 0.0000 0.0000 0.0000
2 Ta 0.0000 0.5000 0.0000
3 Ta 0.5000 0.0000 0.0000
4 Ni 0.5000 0.5000 0.5000
5 Ru 0.0000 0.0000 0.5000

Computed properties:
SG: No. 123
mass density: 9.61 Mg/m³
formation energy: 1917 meV per atom
crystal system: tetragonal

---

## ScTcNi2Ru (GGA-PBE)

Data for an optimized crystal structure of ScTcNi2Ru.

a b c (Å): 4.4757 4.4757 4.6023
angles (deg): 90.00 90.00 90.00
Sites, in units of the cell vectors:
1 Sc 0.0000 0.0000 0.0000
2 Tc 0.5000 0.5000 0.5000
3 Ni 0.0000 0.5000 0.5000
4 Ni 0.5000 0.0000 0.5000
5 Ru 0.5000 0.5000 0.0000

Computed properties:
SG: No. 123
mass density: 6.51 Mg/m³
formation energy: 782 meV per atom
crystal system: tetragonal

---

## ThScNiRu (GGA-PBE)

Data for an optimized crystal structure of ThScNiRu.

a b c (Å): 4.7845 4.7845 4.7845
angles (deg): 60.00 60.00 60.00
Sites, in units of the cell vectors:
1 Th 0.0000 0.0000 0.0000
2 Sc 0.5000 0.5000 0.5000
3 Ni 0.2500 0.2500 0.2500
4 Ru 0.7500 0.7500 0.7500

Computed properties:
SG: No. 216
mass density: 9.36 Mg/m³
formation energy: -420 meV per atom
crystal system: cubic

---

Question: Look up the mass density of the sixth one.
Answer: 6.51 Mg/m³

---

Question: Which formula does entry 4 have?
Answer: ScSi2NiRu

---

Question: Among the records above, which one has the lowest mass density?
Answer: Sc4NiRu2